A plane-wave DFT calculation with PBE-GGA was carried out for a geometry-optimized Li2Mg2GaSnIr2 structure.

The structure belongs to space group P-4m2 (No. 115); the cell edges are 4.449, 4.449 and 6.309 Å and the angles 90.00°, 90.00° and 90.00°. The distinct sites, in fractional coordinates, are Li at (0.000, 0.500, 0.233), Mg at (0.000, 0.000, 0.000), Mg at (0.500, 0.500, 0.500), Ga at (0.500, 0.500, 0.000), Sn at (0.000, 0.000, 0.500) and Ir at (0.000, 0.500, 0.759).

Its size of the total moment is 0.00 μB per cell. The energy is -4.421 eV per atom.



A plane-wave DFT calculation with PBE-GGA was carried out for a geometry-optimized GdSi2AgPd structure.

The structure belongs to space group I-4m2 (No. 119); the cell edges are 4.163, 4.163 and 10.288 Å and the angles 90.00°, 90.00° and 90.00°. The distinct sites, in fractional coordinates, are Gd at (0.000, 0.000, 0.000), Si at (0.000, 0.000, 0.388), Ag at (0.000, 0.500, 0.250) and Pd at (0.000, 0.500, 0.750).

Its size of the total moment is 0.00 μB per cell. The energy is -5.378 eV per atom.



A plane-wave DFT calculation with PBE-GGA was carried out for a geometry-optimized Cs2PdCl2F2 structure.

The structure belongs to space group Cmmm (No. 65); the cell edges are 8.308, 10.764 and 4.117 Å and the angles 90.00°, 90.00° and 90.00°. The distinct sites, in fractional coordinates, are Cs at (0.250, 0.250, 0.000), Pd at (0.000, 0.000, 0.500), Cl at (0.221, 0.500, 0.500) and F at (0.000, 0.187, 0.500).

The energy above the lowest structure with this stoichiometry is 10 meV per atom. The energy is -3.801 eV per atom.



A plane-wave DFT calculation with PBE-GGA was carried out for a geometry-optimized ZrU structure.

The structure belongs to space group Pmma (No. 51); the cell edges are 4.965, 2.965 and 5.971 Å and the angles 90.00°, 90.00° and 90.00°. The distinct sites, in fractional coordinates, are Zr at (0.250, 0.000, 0.128) and U at (0.250, 0.500, 0.604).

The energy above the lowest structure with this stoichiometry is 80 meV per atom. Its size of the total moment is 1.12 μB per cell. The energy is -9.727 eV per atom.



A plane-wave DFT calculation with PBE-GGA was carried out for a geometry-optimized DyHfNp structure.

The structure belongs to space group F-43m (No. 216); the cell edges are 7.010, 7.010 and 7.010 Å and the angles 90.00°, 90.00° and 90.00°. The distinct sites, in fractional coordinates, are Dy at (0.000, 0.000, 0.000), Hf at (0.250, 0.250, 0.250) and Np at (0.000, 0.000, 0.500).

The energy above the lowest structure with this stoichiometry is 0 meV per atom. Its size of the total moment is 19.22 μB per cell. The energy is -7.992 eV per atom.



A plane-wave DFT calculation with PBE-GGA was carried out for a geometry-optimized SrPrO3 structure.

The structure belongs to space group P4mm (No. 99); the cell edges are 4.439, 4.439 and 4.804 Å and the angles 90.00°, 90.00° and 90.00°. The distinct sites, in fractional coordinates, are Sr at (0.000, 0.000, 0.000), Pr at (0.500, 0.500, 0.620), O at (0.000, 0.500, 0.745) and O at (0.500, 0.500, 0.146).

Its size of the total moment is 1.00 μB per cell. The energy is -6.727 eV per atom.



A plane-wave DFT calculation with PBE-GGA was carried out for a geometry-optimized LaNi2Pd2 structure.

The structure belongs to space group P4/nmm (No. 129, origin choice 2); the cell edges are 4.113, 4.113 and 10.564 Å and the angles 90.00°, 90.00° and 90.00°. The distinct sites, in fractional coordinates, are La at (0.250, 0.250, 0.247), Ni at (0.250, 0.250, 0.858), Ni at (0.250, 0.750, 0.500), Pd at (0.250, 0.250, 0.632) and Pd at (0.250, 0.750, 0.000).

Its size of the total moment is 0.61 μB per cell. The energy is -5.598 eV per atom.



A plane-wave DFT calculation with PBE-GGA was carried out for a geometry-optimized HfIr2Pt structure.

The structure belongs to space group F-43m (No. 216); the cell edges are 6.407, 6.407 and 6.407 Å and the angles 90.00°, 90.00° and 90.00°. The distinct sites, in fractional coordinates, are Hf at (0.000, 0.000, 0.000), Ir at (0.000, 0.000, 0.500), Ir at (0.250, 0.250, 0.250) and Pt at (0.250, 0.250, 0.750).

Its size of the total moment is 2.25 μB per cell. The energy is -8.762 eV per atom.



A plane-wave DFT calculation with PBE-GGA was carried out for a geometry-optimized Sc3NiN2 structure.

The structure belongs to space group P6_3/mmc (No. 194); the cell edges are 3.1803, 3.1803 and 17.9352 Å and the angles 90.00°, 90.00° and 120.00°. The distinct sites, in fractional coordinates, are Sc at (0.0000, 0.0000, 0.0000), Sc at (0.3333, 0.6667, 0.1415), Ni at (0.0000, 0.0000, 0.2500) and N at (0.3333, 0.6667, 0.5741).

Its size of the total moment is 0.91 μB per cell. The energy is -8.159 eV per atom.



A plane-wave DFT calculation with PBE-GGA was carried out for a geometry-optimized YBeCd2 structure.

The structure belongs to space group F-43m (No. 216); the cell edges are 6.826, 6.826 and 6.826 Å and the angles 90.00°, 90.00° and 90.00°. The distinct sites, in fractional coordinates, are Y at (0.000, 0.000, 0.000), Be at (0.250, 0.250, 0.750), Cd at (0.000, 0.000, 0.500) and Cd at (0.250, 0.250, 0.250).

Its size of the total moment is 0.01 μB per cell. The energy is -3.016 eV per atom.



A plane-wave DFT calculation with PBE-GGA was carried out for a geometry-optimized YBAu2 structure.

The structure belongs to space group F-43m (No. 216); the cell edges are 6.591, 6.591 and 6.591 Å and the angles 90.00°, 90.00° and 90.00°. The distinct sites, in fractional coordinates, are Y at (0.000, 0.000, 0.000), B at (0.250, 0.250, 0.750), Au at (0.000, 0.000, 0.500) and Au at (0.250, 0.250, 0.250).

Its size of the total moment is 0.00 μB per cell. The energy is -4.839 eV per atom.



A plane-wave DFT calculation with PBE-GGA was carried out for a geometry-optimized Ho2ErMg structure.

The structure belongs to space group Cmcm (No. 63); the cell edges are 6.969, 12.058 and 5.509 Å and the angles 90.00°, 90.00° and 90.00°. The distinct sites, in fractional coordinates, are Ho at (0.245, 0.085, 0.250), Er at (0.000, 0.331, 0.250) and Mg at (0.000, 0.167, 0.750).

The energy above the lowest structure with this stoichiometry is 0 meV per atom. Its size of the total moment is 0.06 μB per cell. The energy is -3.807 eV per atom.